## NaMg3Ir (PBE-GGA)

Data for NaMg3Ir after structural relaxation.

Cell: 5.053 5.053 5.053 Å, 90.00 90.00 90.00°
Sites, in units of the cell vectors:
Na  0.000  0.000  0.000
Mg  0.000  0.500  0.500
Mg  0.500  0.000  0.500
Mg  0.500  0.500  0.000
Ir  0.500  0.500  0.500

DOS at the Fermi energy ... 0.27 states/eV per atom
Energy above the lowest structure with this stoichiometry ... 0.000 eV/atom

=====

## NaMg2Ir2 (PBE-GGA)

Data for NaMg2Ir2 after structural relaxation.

Cell: 5.861 5.861 5.861 Å, 133.03 133.03 68.60°
Sites, in units of the cell vectors:
Na  0.000  0.000  0.000
Mg  0.250  0.750  0.500
Mg  0.750  0.250  0.500
Ir  0.377  0.377  0.000
Ir  0.623  0.623  0.000

DOS at the Fermi energy ... 1.09 states/eV per atom
Energy above the lowest structure with this stoichiometry ... 0.256 eV/atom

=====

## NaMg2Ir2 (PBE-GGA)

Data for NaMg2Ir2 after structural relaxation.

Cell: 8.140 8.140 2.694 Å, 90.00 90.00 90.00°
Sites, in units of the cell vectors:
Na  0.000  0.000  0.000
Na  0.500  0.500  0.000
Mg  0.136  0.364  0.000
Mg  0.364  0.864  0.000
Mg  0.636  0.136  0.000
Mg  0.864  0.636  0.000
Ir  0.158  0.658  0.500
Ir  0.342  0.158  0.500
Ir  0.658  0.842  0.500
Ir  0.842  0.342  0.500

DOS at the Fermi energy ... 0.47 states/eV per atom
Energy above the lowest structure with this stoichiometry ... 0.000 eV/atom

=====

## Na3MgIr (PBE-GGA)

Data for Na3MgIr after structural relaxation.

Cell: 5.466 5.466 5.466 Å, 90.00 90.00 90.00°
Sites, in units of the cell vectors:
Na  0.000  0.000  0.500
Na  0.000  0.500  0.000
Na  0.500  0.000  0.000
Mg  0.500  0.500  0.500
Ir  0.000  0.000  0.000

DOS at the Fermi energy ... 0.44 states/eV per atom
Energy above the lowest structure with this stoichiometry ... 0.000 eV/atom

=====

## Na2MgIrO4 (PBE-GGA)

Data for Na2MgIrO4 after structural relaxation.

Cell: 5.307 3.170 5.630 Å, 90.00 108.81 90.00°
Sites, in units of the cell vectors:
Na  0.000  0.000  0.000
Na  0.500  0.500  0.000
Mg  0.000  0.500  0.500
Ir  0.500  0.000  0.500
O  0.242  0.000  0.704
O  0.279  0.500  0.302
O  0.721  0.500  0.698
O  0.758  0.000  0.296

Formation energy from raw total energies ... -1569.6 meV/atom
DOS at the Fermi energy ... 0.50 states/eV per atom

=====

## NaMgIrO4 (PBE-GGA)

Data for NaMgIrO4 after structural relaxation.

Cell: 6.254 6.254 6.254 Å, 118.81 118.50 92.34°
Sites, in units of the cell vectors:
Na  0.384  0.134  0.250
Na  0.616  0.866  0.750
Mg  0.000  0.000  0.500
Mg  0.000  0.500  0.000
Ir  0.000  0.500  0.500
Ir  0.500  0.500  0.000
O  0.187  0.722  0.465
O  0.243  0.278  0.965
O  0.247  0.296  0.549
O  0.247  0.697  0.951
O  0.753  0.303  0.049
O  0.753  0.704  0.451
O  0.757  0.722  0.035
O  0.813  0.278  0.535

Formation energy from raw total energies ... -1486.9 meV/atom
DOS at the Fermi energy ... 0.05 states/eV per atom

=====

## Na4MgIr3O8 (PBE-GGA)

Data for Na4MgIr3O8 after structural relaxation.

Cell: 6.365 6.365 6.365 Å, 59.99 59.99 59.99°
Sites, in units of the cell vectors:
Na  0.000  0.000  0.000
Na  0.000  0.500  0.500
Na  0.500  0.000  0.500
Na  0.500  0.500  0.000
Mg  0.500  0.500  0.500
Ir  0.000  0.000  0.500
Ir  0.000  0.500  0.000
Ir  0.500  0.000  0.000
O  0.225  0.737  0.736
O  0.231  0.231  0.231
O  0.264  0.263  0.775
O  0.264  0.775  0.264
O  0.737  0.225  0.737
O  0.737  0.736  0.225
O  0.769  0.769  0.769
O  0.775  0.263  0.263

Formation energy from raw total energies ... -1275.1 meV/atom
DOS at the Fermi energy ... 0.31 states/eV per atom

=====

## Na2MgIrO6 (PBE-GGA)

Data for Na2MgIrO6 after structural relaxation.

Cell: 5.438 5.502 9.453 Å, 90.00 124.99 90.00°
Sites, in units of the cell vectors:
Na  0.244  0.034  0.250
Na  0.244  0.466  0.750
Na  0.756  0.534  0.250
Na  0.756  0.966  0.750
Mg  0.500  0.000  0.000
Mg  0.500  0.500  0.500
Ir  0.000  0.000  0.500
Ir  0.000  0.500  0.000
O  0.158  0.220  0.962
O  0.158  0.280  0.462
O  0.244  0.699  0.965
O  0.244  0.801  0.465
O  0.310  0.015  0.739
O  0.310  0.485  0.239
O  0.690  0.515  0.761
O  0.690  0.985  0.261
O  0.756  0.199  0.535
O  0.756  0.301  0.035
O  0.842  0.720  0.538
O  0.842  0.780  0.038

Formation energy from raw total energies ... -1288.0 meV/atom
DOS at the Fermi energy ... 0.51 states/eV per atom

=====

## Na2Mg2IrO6 (PBE-GGA)

Data for Na2Mg2IrO6 after structural relaxation.

Cell: 5.258 5.258 5.819 Å, 99.29 99.29 118.80°
Sites, in units of the cell vectors:
Na  0.171  0.829  0.000
Na  0.829  0.171  0.000
Mg  0.337  0.663  0.500
Mg  0.663  0.337  0.500
Ir  0.000  0.000  0.500
O  0.060  0.379  0.694
O  0.242  0.242  0.307
O  0.379  0.060  0.694
O  0.621  0.940  0.306
O  0.758  0.758  0.693
O  0.940  0.621  0.306

Formation energy from raw total energies ... -1683.5 meV/atom
DOS at the Fermi energy ... 0.25 states/eV per atom

=====

## NaMgIr2Pd (PBE-GGA)

Data for NaMgIr2Pd after structural relaxation.

Cell: 4.839 4.839 4.801 Å, 90.00 90.00 90.00°
Sites, in units of the cell vectors:
Na  0.000  0.000  0.000
Mg  0.500  0.500  0.000
Ir  0.000  0.500  0.500
Ir  0.500  0.000  0.500
Pd  0.000  0.000  0.500

Calculated total energy ... -20.3 eV/cell
DOS at the Fermi energy ... 1.19 states/eV per atom

=====

## Na4MgIr3S8 (PBE-GGA)

Data for Na4MgIr3S8 after structural relaxation.

Cell: 7.630 7.630 7.630 Å, 57.63 57.63 57.63°
Sites, in units of the cell vectors:
Na  0.000  0.000  0.000
Na  0.000  0.500  0.500
Na  0.500  0.000  0.500
Na  0.500  0.500  0.000
Mg  0.500  0.500  0.500
Ir  0.000  0.000  0.500
Ir  0.000  0.500  0.000
Ir  0.500  0.000  0.000
S  0.215  0.742  0.742
S  0.227  0.227  0.227
S  0.258  0.258  0.785
S  0.258  0.785  0.258
S  0.742  0.215  0.742
S  0.742  0.742  0.215
S  0.773  0.773  0.773
S  0.785  0.258  0.258

Formation energy from raw total energies ... -767.2 meV/atom
DOS at the Fermi energy ... 0.51 states/eV per atom

=====

## Na4MgIr3Se8 (PBE-GGA)

Data for Na4MgIr3Se8 after structural relaxation.

Cell: 8.038 8.038 8.038 Å, 57.38 57.38 57.38°
Sites, in units of the cell vectors:
Na  0.000  0.000  0.000
Na  0.000  0.500  0.500
Na  0.500  0.000  0.500
Na  0.500  0.500  0.000
Mg  0.500  0.500  0.500
Ir  0.000  0.000  0.500
Ir  0.000  0.500  0.000
Ir  0.500  0.000  0.000
Se  0.215  0.742  0.742
Se  0.228  0.228  0.228
Se  0.258  0.258  0.785
Se  0.258  0.785  0.258
Se  0.742  0.215  0.742
Se  0.742  0.742  0.215
Se  0.772  0.772  0.772
Se  0.785  0.258  0.258

Formation energy from raw total energies ... -664.8 meV/atom
DOS at the Fermi energy ... 0.76 states/eV per atom

=====

## NaMgSnIr2 (PBE-GGA)

Data for NaMgSnIr2 after structural relaxation.

Cell: 4.913 4.913 5.103 Å, 90.00 90.00 90.00°
Sites, in units of the cell vectors:
Na  0.000  0.000  0.000
Mg  0.500  0.500  0.000
Sn  0.000  0.000  0.500
Ir  0.000  0.500  0.500
Ir  0.500  0.000  0.500

Calculated total energy ... -20.2 eV/cell
DOS at the Fermi energy ... 0.43 states/eV per atom

=====

## NaMg2TlIr (PBE-GGA)

Data for NaMg2TlIr after structural relaxation.

Cell: 5.065 5.065 5.269 Å, 90.00 90.00 90.00°
Sites, in units of the cell vectors:
Na  0.000  0.000  0.000
Mg  0.000  0.500  0.500
Mg  0.500  0.000  0.500
Tl  0.500  0.500  0.000
Ir  0.500  0.500  0.500

Calculated total energy ... -16.1 eV/cell
DOS at the Fermi energy ... 0.33 states/eV per atom

=====

## NaMgTl2Ir (PBE-GGA)

Data for NaMgTl2Ir after structural relaxation.

Cell: 5.299 5.299 5.082 Å, 90.00 90.00 90.00°
Sites, in units of the cell vectors:
Na  0.000  0.000  0.000
Mg  0.500  0.500  0.000
Tl  0.000  0.500  0.500
Tl  0.500  0.000  0.500
Ir  0.500  0.500  0.500

Calculated total energy ... -16.5 eV/cell
DOS at the Fermi energy ... 0.45 states/eV per atom

=====

## NaMgIr2W (PBE-GGA)

Data for NaMgIr2W after structural relaxation.

Cell: 4.589 4.589 4.202 Å, 90.00 90.00 90.00°
Sites, in units of the cell vectors:
Na  0.000  0.000  0.000
Mg  0.000  0.000  0.500
Ir  0.000  0.500  0.500
Ir  0.500  0.000  0.500
W  0.500  0.500  0.000

Calculated total energy ... -25.6 eV/cell
DOS at the Fermi energy ... 0.90 states/eV per atom

=====

## NaY2MgIr (PBE-GGA)

Data for NaY2MgIr after structural relaxation.

Cell: 5.388 5.388 5.252 Å, 90.00 90.00 90.00°
Sites, in units of the cell vectors:
Na  0.000  0.000  0.000
Y  0.000  0.500  0.500
Y  0.500  0.000  0.500
Mg  0.500  0.500  0.000
Ir  0.500  0.500  0.500

Calculated total energy ... -25.8 eV/cell
DOS at the Fermi energy ... 0.64 states/eV per atom

=====

## NaMgZnIr (PBE-GGA)

Data for NaMgZnIr after structural relaxation.

Cell: 4.544 4.544 4.544 Å, 60.00 60.00 60.00°
Sites, in units of the cell vectors:
Na  0.000  0.000  0.000
Mg  0.750  0.750  0.750
Zn  0.250  0.250  0.250
Ir  0.500  0.500  0.500

Calculated total energy ... -13.3 eV/cell
DOS at the Fermi energy ... 0.39 states/eV per atom

=====

## MgNbIr (PBE-GGA)

Data for MgNbIr after structural relaxation.

Cell: 5.595 5.595 5.595 Å, 147.12 147.12 47.19°
Sites, in units of the cell vectors:
Mg  0.000  0.000  0.000
Nb  0.306  0.306  0.000
Ir  0.664  0.664  0.000

Calculated total energy ... -21.3 eV/cell
DOS at the Fermi energy ... 0.48 states/eV per atom

=====

## Mg2NbIr2 (PBE-GGA)

Data for Mg2NbIr2 after structural relaxation.

Cell: 7.393 7.393 3.055 Å, 90.00 90.00 90.00°
Sites, in units of the cell vectors:
Mg  0.135  0.365  0.000
Mg  0.365  0.865  0.000
Mg  0.635  0.135  0.000
Mg  0.865  0.635  0.000
Nb  0.000  0.000  0.500
Nb  0.500  0.500  0.500
Ir  0.165  0.665  0.500
Ir  0.335  0.165  0.500
Ir  0.665  0.835  0.500
Ir  0.835  0.335  0.500

DOS at the Fermi energy ... 0.69 states/eV per atom
Energy above the lowest structure with this stoichiometry ... 0.261 eV/atom